Entry 1:
The following is a DFT calculation (PBE) of a relaxed structure of La2GaRh3.

Properties
The value obtained for the magnetization is 0.0 Bohr magnetons per cell. The calculation puts the total energy at -0.48862 Ry/atom. The value obtained for the volume is 19.370 Å³ per atom. As for the space-group type: R-3m, No. 166. The calculation puts the energy of formation at -0.8253 eV per atom. For the relative energy among the computed polymorphs, the calculation gives 0 meV/atom.

Cell: 5.2206 5.2206 5.2206 Å, 67.26 67.26 67.26°
Closest atoms and distances in Å follow each position.
Fractional coordinates of all 6 atoms:
La 0.1330 0.1330 0.1330  3 Rh 2.93, 1 La 3.20
La 0.8670 0.8670 0.8670  3 Rh 2.93, 1 La 3.20
Ga 0.5000 0.5000 0.5000  6 Rh 2.61
Rh 0.0000 0.5000 0.5000  2 Ga 2.61, 4 Rh 2.89
Rh 0.5000 0.0000 0.5000  2 Ga 2.61, 4 Rh 2.89
Rh 0.5000 0.5000 0.0000  2 Ga 2.61, 4 Rh 2.89

***

Entry 2:
The following is a DFT calculation (PBE) of a relaxed structure of LaGaRh2.

Properties
The value obtained for the magnetization is 0.0 Bohr magnetons per cell. The calculation puts the total energy at -0.46269 Ry/atom. The value obtained for the volume is 18.318 Å³ per atom. As for the space-group type: P4/mmm, No. 123. The calculation puts the energy of formation at -0.6309 eV per atom.

Cell: 4.4595 4.4595 3.6845 Å, 90.00 90.00 90.00°
Closest atoms and distances in Å follow each position.
Fractional coordinates of all 4 atoms:
La 0.0000 0.0000 0.0000  8 Rh 2.89, 4 Ga 3.15
Ga 0.5000 0.5000 0.0000  8 Rh 2.89, 4 La 3.15
Rh 0.0000 0.5000 0.5000  4 La 2.89, 4 Ga 2.89, 4 Rh 3.15
Rh 0.5000 0.0000 0.5000  4 La 2.89, 4 Ga 2.89, 4 Rh 3.15

***

Entry 3:
The following is a DFT calculation (PBE) of a relaxed structure of LaGaRh2.

Properties
The value obtained for the magnetization is 0.0 Bohr magnetons per cell. The calculation puts the total energy at -0.44620 Ry/atom. The value obtained for the volume is 22.544 Å³ per atom. As for the space-group type: I-42d, No. 122. The calculation puts the energy of formation at -0.4066 eV per atom.

Cell: 8.8900 8.8900 8.8900 Å, 149.51 149.51 43.66°
Closest atoms and distances in Å follow each position.
Fractional coordinates of all 8 atoms:
La 0.0000 0.0000 0.0000  4 Rh 2.95
La 0.7500 0.2500 0.5000  4 Rh 2.95
Ga 0.2500 0.7500 0.5000  4 Rh 2.44
Ga 0.5000 0.5000 0.0000  4 Rh 2.44
Rh 0.2494 0.6250 0.1244  2 Ga 2.44, 2 Rh 2.62
Rh 0.3750 0.4994 0.6244  2 Ga 2.44, 2 Rh 2.62
Rh 0.5006 0.1250 0.8756  2 Ga 2.44, 2 Rh 2.62
Rh 0.8750 0.7506 0.3756  2 Ga 2.44, 2 Rh 2.62

***

Entry 4:
The following is a DFT calculation (PBE) of a relaxed structure of La2Ga2Rh.

Properties
The value obtained for the magnetization is 0.0 Bohr magnetons per cell. The calculation puts the total energy at -0.38441 Ry/atom. The value obtained for the volume is 23.071 Å³ per atom. As for the space-group type: P4/mbm, No. 127. The calculation puts the energy of formation at -0.5781 eV per atom. For the relative energy among the computed polymorphs, the calculation gives 138 meV/atom.

Cell: 7.0072 7.0072 4.6988 Å, 90.00 90.00 90.00°
Closest atoms and distances in Å follow each position.
Fractional coordinates of all 10 atoms:
La 0.1665 0.3335 0.0000  6 Ga 3.04-3.19, 1 La 3.30
La 0.3335 0.8335 0.0000  6 Ga 3.04-3.19, 1 La 3.30
La 0.6665 0.1665 0.0000  6 Ga 3.04-3.19, 1 La 3.30
La 0.8335 0.6665 0.0000  6 Ga 3.04-3.19, 1 La 3.30
Ga 0.1396 0.6396 0.5000  2 Rh 2.71, 1 Ga 2.77
Ga 0.3604 0.1396 0.5000  2 Rh 2.71, 1 Ga 2.77
Ga 0.6396 0.8604 0.5000  2 Rh 2.71, 1 Ga 2.77
Ga 0.8604 0.3604 0.5000  2 Rh 2.71, 1 Ga 2.77
Rh 0.0000 0.0000 0.5000  4 Ga 2.71
Rh 0.5000 0.5000 0.5000  4 Ga 2.71

***

Entry 5:
The following is a DFT calculation (PBE) of a relaxed structure of La3Ga3Rh.

Properties
The value obtained for the magnetization is 0.0 Bohr magnetons per cell. The calculation puts the total energy at -0.37733 Ry/atom. The value obtained for the volume is 25.137 Å³ per atom. As for the space-group type: C2/m, No. 12. The calculation puts the energy of formation at -0.6747 eV per atom.

Cell: 6.0531 6.0531 14.7712 Å, 105.61 105.61 42.78°
Closest atoms and distances in Å follow each position.
Fractional coordinates of all 14 atoms:
La 0.0173 0.0173 0.3860  3 Rh 3.13-3.34, 7 Ga 3.19-3.49, 1 La 3.50
La 0.1159 0.1159 0.9201  7 Ga 3.21-3.28
La 0.2333 0.2333 0.2371  2 Rh 3.05, 6 Ga 3.19-3.34
La 0.7667 0.7667 0.7629  2 Rh 3.05, 6 Ga 3.19-3.34
La 0.8841 0.8841 0.0799  7 Ga 3.21-3.28
La 0.9827 0.9827 0.6140  3 Rh 3.13-3.34, 7 Ga 3.19-3.49, 1 La 3.50
Ga 0.3285 0.3285 0.4645  3 Rh 2.59-2.61
Ga 0.4030 0.4030 0.9259  2 Ga 2.61-2.67
Ga 0.4723 0.4723 0.7674  1 Ga 2.67, 1 Rh 2.72
Ga 0.5277 0.5277 0.2326  1 Ga 2.67, 1 Rh 2.72
Ga 0.5970 0.5970 0.0741  2 Ga 2.61-2.67
Ga 0.6715 0.6715 0.5355  3 Rh 2.59-2.61
Rh 0.2622 0.2622 0.6198  4 Ga 2.59-2.72
Rh 0.7378 0.7378 0.3802  4 Ga 2.59-2.72

***

Entry 6:
The following is a DFT calculation (PBE) of a relaxed structure of La6GaRh2.

Properties
The value obtained for the magnetization is 0.0 Bohr magnetons per cell. The calculation puts the total energy at -0.41706 Ry/atom. The value obtained for the volume is 28.967 Å³ per atom. As for the space-group type: C2/m, No. 12. The calculation puts the energy of formation at -0.4194 eV per atom. For the relative energy among the computed polymorphs, the calculation gives 43 meV/atom.

Cell: 6.7385 6.7385 9.6341 Å, 123.19 123.19 48.12°
Closest atoms and distances in Å follow each position.
Fractional coordinates of all 9 atoms:
La 0.0147 0.0147 0.1730  2 La 3.13-3.48, 1 Ga 3.26, 2 Rh 3.35-3.39
La 0.2925 0.2925 0.8829  3 Rh 2.90-2.96
La 0.3714 0.3714 0.5231  1 Rh 2.71
La 0.6286 0.6286 0.4769  1 Rh 2.71
La 0.7075 0.7075 0.1171  3 Rh 2.90-2.96
La 0.9853 0.9853 0.8270  2 La 3.13-3.48, 1 Ga 3.26, 2 Rh 3.35-3.39
Ga 0.0000 0.0000 0.5000  8 La 3.24-3.26
Rh 0.3012 0.3012 0.1969  4 La 2.71-2.96
Rh 0.6988 0.6988 0.8031  4 La 2.71-2.96

***

Entry 7:
The following is a DFT calculation (PBE) of a relaxed structure of LaGa2Rh2.

Properties
The value obtained for the magnetization is 0.0 Bohr magnetons per cell. The calculation puts the total energy at -0.43164 Ry/atom. The value obtained for the volume is 19.378 Å³ per atom. As for the space-group type: I4/mmm, No. 139. The calculation puts the energy of formation at -0.7359 eV per atom.

Cell: 6.2356 6.2356 6.2356 Å, 140.60 140.60 56.95°
Closest atoms and distances in Å follow each position.
Fractional coordinates of all 5 atoms:
La 0.0000 0.0000 0.0000  8 Rh 3.26, 8 Ga 3.45
Ga 0.2500 0.7500 0.5000  4 Rh 2.53
Ga 0.7500 0.2500 0.5000  4 Rh 2.53
Rh 0.3786 0.3786 0.0000  4 Ga 2.53, 1 Rh 2.66
Rh 0.6214 0.6214 0.0000  4 Ga 2.53, 1 Rh 2.66

***

Entry 8:
The following is a DFT calculation (PBE) of a relaxed structure of La3Ga6Rh5.

Properties
The value obtained for the magnetization is 0.0 Bohr magnetons per cell. The calculation puts the total energy at -0.42253 Ry/atom. The value obtained for the volume is 18.971 Å³ per atom. As for the space-group type: Pmmn, No. 59. The calculation puts the energy of formation at -0.7702 eV per atom.

Cell: 4.2645 13.0162 9.5699 Å, 90.00 90.00 90.00°
Closest atoms and distances in Å follow each position.
Fractional coordinates of all 28 atoms:
La 0.2500 0.0602 0.2495  8 Ga 3.04-3.30, 6 Rh 3.08-3.30
La 0.2500 0.4398 0.2495  8 Ga 3.04-3.30, 6 Rh 3.08-3.30
La 0.2500 0.7500 0.2346  6 Rh 2.97-3.28, 2 Ga 3.31
La 0.7500 0.2500 0.7654  6 Rh 2.97-3.28, 2 Ga 3.31
La 0.7500 0.5602 0.7505  8 Ga 3.04-3.30, 6 Rh 3.08-3.30
La 0.7500 0.9398 0.7505  8 Ga 3.04-3.30, 6 Rh 3.08-3.30
Ga 0.2500 0.0679 0.9097  4 Rh 2.62-2.74, 1 Ga 2.79
Ga 0.2500 0.2500 0.0638  4 Rh 2.59, 2 Ga 2.79
Ga 0.2500 0.2500 0.4733  4 Rh 2.61-2.72, 4 Ga 2.88
Ga 0.2500 0.4321 0.9097  4 Rh 2.62-2.74, 1 Ga 2.79
Ga 0.2500 0.6012 0.5152  4 Rh 2.56-2.68
Ga 0.2500 0.8988 0.5152  4 Rh 2.56-2.68
Ga 0.7500 0.1012 0.4848  4 Rh 2.56-2.68
Ga 0.7500 0.3988 0.4848  4 Rh 2.56-2.68
Ga 0.7500 0.5679 0.0903  4 Rh 2.62-2.74, 1 Ga 2.79
Ga 0.7500 0.7500 0.5267  4 Rh 2.61-2.72, 4 Ga 2.88
Ga 0.7500 0.7500 0.9362  4 Rh 2.59, 2 Ga 2.79
Ga 0.7500 0.9321 0.0903  4 Rh 2.62-2.74, 1 Ga 2.79
Rh 0.2500 0.0864 0.6309  5 Ga 2.56-2.68
Rh 0.2500 0.4136 0.6309  5 Ga 2.56-2.68
Rh 0.2500 0.6387 0.9631  5 Ga 2.59-2.74, 2 Rh 2.88-2.90
Rh 0.2500 0.7500 0.7030  4 Ga 2.64-2.72, 2 Rh 2.88
Rh 0.2500 0.8613 0.9631  5 Ga 2.59-2.74, 2 Rh 2.88-2.90
Rh 0.7500 0.1387 0.0369  5 Ga 2.59-2.74, 2 Rh 2.88-2.90
Rh 0.7500 0.2500 0.2970  4 Ga 2.64-2.72, 2 Rh 2.88
Rh 0.7500 0.3613 0.0369  5 Ga 2.59-2.74, 2 Rh 2.88-2.90
Rh 0.7500 0.5864 0.3691  5 Ga 2.56-2.68
Rh 0.7500 0.9136 0.3691  5 Ga 2.56-2.68

***

Entry 9:
The following is a DFT calculation (PBE) of a relaxed structure of LaGa2RuRh.

Properties
The value obtained for the magnetization is 0.0 Bohr magnetons per cell. The calculation puts the total energy at -0.45452 Ry/atom. The value obtained for the volume is 19.138 Å³ per atom. As for the space-group type: I-4m2, No. 119. The calculation puts the energy of formation at -0.6624 eV per atom.

Cell: 5.7819 5.7819 5.7819 Å, 134.85 134.85 65.76°
Closest atoms and distances in Å follow each position.
Fractional coordinates of all 5 atoms:
La 0.0000 0.0000 0.0000  4 Ru 3.29, 4 Rh 3.29, 10 Ga 3.40-3.55
Ga 0.3654 0.3654 0.0000  2 Ru 2.49, 2 Rh 2.49, 1 Ga 2.61
Ga 0.6346 0.6346 0.0000  2 Ru 2.49, 2 Rh 2.49, 1 Ga 2.61
Ru 0.2500 0.7500 0.5000  4 Ga 2.49
Rh 0.7500 0.2500 0.5000  4 Ga 2.49

***

Entry 10:
The following is a DFT calculation (PBE) of a relaxed structure of La2Ga6RuRh.

Properties
The value obtained for the magnetization is 0.0 Bohr magnetons per cell. The calculation puts the total energy at -0.36450 Ry/atom. The value obtained for the volume is 21.728 Å³ per atom. As for the space-group type: Immm, No. 71. The calculation puts the energy of formation at -0.4949 eV per atom.

Cell: 6.7474 6.7474 6.7474 Å, 120.08 119.88 90.03°
Closest atoms and distances in Å follow each position.
Fractional coordinates of all 10 atoms:
La 0.2498 0.2498 0.0000  12 Ga 3.37-3.38
La 0.7502 0.7502 0.0000  12 Ga 3.37-3.38
Ga 0.2501 0.2499 0.5000  1 Ru 2.38, 1 Rh 2.39
Ga 0.2501 0.7501 0.0003  1 Ru 2.38, 1 Rh 2.39
Ga 0.2501 0.7501 0.5000  1 Ru 2.38, 1 Rh 2.39
Ga 0.7499 0.2499 0.9997  1 Ru 2.38, 1 Rh 2.39
Ga 0.7499 0.2499 0.5000  1 Ru 2.38, 1 Rh 2.39
Ga 0.7499 0.7501 0.5000  1 Ru 2.38, 1 Rh 2.39
Ru 0.5000 0.0000 0.5000  6 Ga 2.38
Rh 0.0000 0.5000 0.5000  6 Ga 2.39

***

Question: Among the records above, which one has the lowest energy of formation?
Answer: La2GaRh3

***

Question: Which formula does entry 1 have?
Answer: La2GaRh3

***

Question: Number 5 is which compound?
Answer: La3Ga3Rh